No. 1
The following is a GGA-PBE calculation of a relaxed structure of K2YBe, from Alexandria.

```
K2YBe
1.0
4.652 0.000 0.000
0.000 4.652 0.000
0.000 0.000 6.806
K Y Be
2 1 1
direct
0.000 0.000 0.222
0.000 0.000 0.778
0.500 0.500 0.500
0.500 0.500 0.000
```

The volume is 36.818 Å³ per atom. Its formation energy is 0.965 eV per atom.


No. 2
The following is a GGA-PBE calculation of a relaxed structure of KY2Be, from Alexandria.

```
KY2Be
1.0
-1.739 2.164 9.256
1.739 -2.164 9.256
1.739 2.164 -9.256
K Y Be
1 2 1
direct
0.000 0.000 0.000
0.323 0.823 0.500
0.682 0.682 0.000
0.803 0.303 0.500
```

The volume is 34.844 Å³ per atom. Its formation energy is 0.479 eV per atom.


No. 3
The following is a GGA-PBE calculation of a relaxed structure of KBe3Zn, from Alexandria.

```
KBe3Zn
1.0
4.435 0.000 0.000
0.000 4.435 0.000
0.000 0.000 4.435
K Be Zn
1 3 1
direct
0.000 0.000 0.000
0.000 0.500 0.500
0.500 0.000 0.500
0.500 0.500 0.000
0.500 0.500 0.500
```

The volume is 17.446 Å³ per atom. Its formation energy is 0.787 eV per atom. The calculation puts the offset from the most stable computed form at 0 kJ/mol of formula units.


No. 4
The following is a GGA-PBE calculation of a relaxed structure of KBeZn3, from Alexandria.

```
KBeZn3
1.0
6.342 0.000 0.000
0.000 6.342 0.000
0.000 0.000 6.342
K Be Zn
1 1 3
direct
0.000 0.000 0.000
0.500 0.500 0.500
0.000 0.000 0.500
0.000 0.500 0.000
0.500 0.000 0.000
```

The volume is 51.016 Å³ per atom. Its formation energy is 1.324 eV per atom. The calculation puts the offset from the most stable computed form at 533 kJ/mol of formula units.


No. 5
The following is a GGA-PBE calculation of a relaxed structure of K3BeZn, from Alexandria.

```
K3BeZn
1.0
6.365 0.000 0.000
0.000 6.365 0.000
0.000 0.000 6.365
K Be Zn
3 1 1
direct
0.000 0.000 0.500
0.000 0.500 0.000
0.500 0.000 0.000
0.000 0.000 0.000
0.500 0.500 0.500
```

The volume is 51.580 Å³ per atom. Its formation energy is 0.661 eV per atom. The calculation puts the offset from the most stable computed form at 0 kJ/mol of formula units.


No. 6
The following is a GGA-PBE calculation of a relaxed structure of KBeZn3, from Alexandria.

```
KBeZn3
1.0
4.635 0.000 0.000
0.000 4.635 0.000
0.000 0.000 4.635
K Be Zn
1 1 3
direct
0.000 0.000 0.000
0.500 0.500 0.500
0.000 0.500 0.500
0.500 0.000 0.500
0.500 0.500 0.000
```

The volume is 19.916 Å³ per atom. Its formation energy is 0.219 eV per atom. The calculation puts the offset from the most stable computed form at 0 kJ/mol of formula units.


No. 7
The following is a GGA-PBE calculation of a relaxed structure of KBe3Zn, from Alexandria.

```
KBe3Zn
1.0
6.055 0.000 0.000
0.000 6.055 0.000
0.000 0.000 6.055
K Be Zn
1 3 1
direct
0.000 0.000 0.000
0.000 0.000 0.500
0.000 0.500 0.000
0.500 0.000 0.000
0.500 0.500 0.500
```

The volume is 44.407 Å³ per atom. Its formation energy is 2.234 eV per atom. The calculation puts the offset from the most stable computed form at 698 kJ/mol of formula units.


No. 8
The following is a GGA-PBE calculation of a relaxed structure of K2ZrBe, from Alexandria.

```
K2ZrBe
1.0
0.000 3.827 3.827
3.827 0.000 3.827
3.827 3.827 0.000
K Zr Be
2 1 1
direct
0.000 0.000 0.000
0.250 0.250 0.250
0.750 0.750 0.750
0.500 0.500 0.500
```

The volume is 28.023 Å³ per atom. Its formation energy is 1.289 eV per atom.